1.
The following is a PBE calculation of HfFeMo after structural relaxation, from Alexandria via LeMat-Bulk.

Summary:
VASP energy (eV per atom): -9.922
Energy relative to the elements (kcal/mol of atoms): -4.0
M_tot (μB/atom): 0.43
N(E_F) (states/eV per atom): 0.91

The structure in extended XYZ format:
```
6
Lattice="-2.564 2.575 3.666 2.564 -2.575 3.666 2.564 2.575 -3.666" Properties=species:S:1:pos:R:3 pbc="T T T"
Hf 0.000 1.287 0.911
Hf 2.564 1.287 2.754
Fe 1.282 1.287 -1.833
Fe 1.282 -1.287 1.833
Mo 2.564 0.000 0.000
Mo 0.000 0.000 3.666
```

***

2.
The following is a PBE calculation of HfSn2Rh after structural relaxation, from Alexandria via LeMat-Bulk.

Summary:
VASP energy (eV per atom): -6.202
Energy relative to the elements (kcal/mol of atoms): 2.9
M_tot (μB/atom): 0.00
N(E_F) (states/eV per atom): 0.99

The structure in extended XYZ format:
```
4
Lattice="1.570 0.907 10.250 -1.570 0.907 10.250 0.000 -1.813 10.250" Properties=species:S:1:pos:R:3 pbc="T T T"
Hf 0.000 0.000 0.000
Sn 0.000 0.000 12.796
Sn 0.000 0.000 17.953
Rh 0.000 0.000 15.374
```

***

3.
The following is a PBE calculation of YZrHg after structural relaxation, from Alexandria via LeMat-Bulk.

Summary:
VASP energy (eV per atom): -5.351
Energy relative to the elements (kcal/mol of atoms): -5.7
M_tot (μB/atom): 0.00
N(E_F) (states/eV per atom): 0.89

The structure in extended XYZ format:
```
6
Lattice="1.707 -8.391 0.000 1.707 8.391 0.000 0.000 0.000 5.197" Properties=species:S:1:pos:R:3 pbc="T T T"
Y 1.707 6.750 3.897
Y 1.707 -6.750 1.299
Zr 1.707 4.605 1.299
Zr 1.707 -4.605 3.897
Hg 1.707 1.066 3.897
Hg 1.707 -1.066 1.299
```

***

4.
The following is a PBE calculation of MnReSb2 after structural relaxation, from Alexandria via LeMat-Bulk.

Summary:
VASP energy (eV per atom): -6.962
Energy relative to the elements, uncorrected (eV/atom): 0.504
M_tot (μB/atom): 0.00
N(E_F) (states/eV per atom): 0.67

The structure in extended XYZ format:
```
4
Lattice="0.000 3.235 3.235 3.235 0.000 3.235 3.235 3.235 0.000" Properties=species:S:1:pos:R:3 pbc="T T T"
Mn 0.000 0.000 0.000
Re 3.235 3.235 3.235
Sb 1.617 1.617 1.617
Sb 4.852 4.852 4.852
```

***

5.
The following is a PBE calculation of GaAg2W after structural relaxation, from Alexandria via LeMat-Bulk.

Summary:
VASP energy (eV per atom): -4.719
Energy relative to the elements (kcal/mol of atoms): 16.2
M_tot (μB/atom): 0.00
N(E_F) (states/eV per atom): 1.02

The structure in extended XYZ format:
```
8
Lattice="-1.875 1.875 10.211 1.875 -1.875 10.211 1.875 1.875 -10.211" Properties=species:S:1:pos:R:3 pbc="T T T"
Ga 0.000 0.000 0.000
Ga 0.000 1.875 5.106
Ag 2.812 0.937 -2.553
Ag 0.937 0.937 2.553
Ag -0.937 0.938 7.659
Ag 0.938 0.937 12.764
W 1.875 0.000 5.106
W 0.000 0.000 10.211
```

***

6.
The following is a PBE calculation of Cs2HgPtAu after structural relaxation, from Alexandria via LeMat-Bulk.

Summary:
VASP energy (eV per atom): -2.314
Energy relative to the elements (kcal/mol of atoms): -1.1
M_tot (μB/atom): 0.00
N(E_F) (states/eV per atom): 0.72

The structure in extended XYZ format:
```
5
Lattice="6.540 0.000 0.000 0.000 6.540 0.000 0.000 0.000 5.256" Properties=species:S:1:pos:R:3 pbc="T T T"
Cs 0.000 3.270 0.000
Cs 3.270 0.000 0.000
Hg 0.000 0.000 2.628
Pt 3.270 3.270 0.000
Au 3.270 3.270 2.628
```

***

7.
The following is a PBE calculation of MnAlAg2Te4 after structural relaxation, from Alexandria via LeMat-Bulk.

Summary:
VASP energy (eV per atom): -4.111
Energy relative to the elements, uncorrected (eV/atom): -0.213
M_tot (μB/atom): 0.50
N(E_F) (states/eV per atom): 0.33

The structure in extended XYZ format:
```
8
Lattice="-3.165 3.165 6.219 3.165 -3.165 6.219 3.165 3.165 -6.219" Properties=species:S:1:pos:R:3 pbc="T T T"
Mn 0.000 0.000 0.000
Al 3.165 0.000 3.110
Ag 0.000 0.000 6.219
Ag 0.000 3.165 3.110
Te 1.465 1.590 -1.557
Te 4.740 1.465 1.557
Te 1.700 1.575 4.663
Te -1.575 1.700 7.776
```

***

8.
The following is a PBE calculation of Er7Ni2Te2 after structural relaxation, from Alexandria via LeMat-Bulk.

Summary:
VASP energy (eV per atom): -5.205
Energy relative to the elements, uncorrected (eV/atom): -0.679
M_tot (μB/atom): 0.00
N(E_F) (states/eV per atom): 0.74

The structure in extended XYZ format:
```
11
Lattice="-1.919 7.736 4.763 1.919 -7.736 4.763 1.919 7.736 -4.763" Properties=species:S:1:pos:R:3 pbc="T T T"
Er 0.000 0.000 0.000
Er 1.919 5.668 -0.781
Er 1.919 2.868 1.160
Er 0.000 2.068 3.981
Er 0.000 5.476 2.589
Er 0.000 9.996 2.589
Er 0.000 4.868 5.923
Ni 1.919 -4.075 4.085
Ni 1.919 4.075 4.085
Te 1.919 0.000 2.525
Te 0.000 0.000 6.309
```

***

9.
The following is a PBE calculation of TlCrCd after structural relaxation, from Alexandria via LeMat-Bulk.

Summary:
VASP energy (eV per atom): -3.740
Energy relative to the elements (kcal/mol of atoms): 13.0
M_tot (μB/atom): 1.38
N(E_F) (states/eV per atom): 0.75

The structure in extended XYZ format:
```
3
Lattice="0.000 3.326 3.326 3.326 0.000 3.326 3.326 3.326 0.000" Properties=species:S:1:pos:R:3 pbc="T T T"
Tl 0.000 0.000 0.000
Cr 1.663 1.663 1.663
Cd 3.326 3.326 3.326
```

***

10.
The following is a PBE calculation of Tb3Sc7 after structural relaxation, from Alexandria via LeMat-Bulk.

Summary:
VASP energy (eV per atom): -5.766
Energy relative to the elements (kcal/mol of atoms): 1.3
M_tot (μB/atom): 0.00
N(E_F) (states/eV per atom): 1.75

The structure in extended XYZ format:
```
10
Lattice="8.556 -2.364 0.000 8.556 2.364 0.000 -1.372 0.000 6.562" Properties=species:S:1:pos:R:3 pbc="T T T"
Tb 0.000 0.000 0.000
Tb 2.549 0.000 3.953
Tb 13.192 0.000 2.610
Sc -0.686 0.000 3.281
Sc 3.281 0.000 0.649
Sc 6.569 0.000 1.297
Sc 5.914 0.000 4.591
Sc 9.827 0.000 1.972
Sc 9.172 0.000 5.266
Sc 12.460 0.000 5.914
```

***

11.
The following is a PBE calculation of InPt2Cl after structural relaxation, from Alexandria via LeMat-Bulk.

Summary:
VASP energy (eV per atom): -4.219
Energy relative to the elements, uncorrected (eV/atom): -0.052
M_tot (μB/atom): 0.00
N(E_F) (states/eV per atom): 0.44

The structure in extended XYZ format:
```
4
Lattice="-1.501 2.549 4.736 1.501 -2.549 4.736 1.501 2.549 -4.736" Properties=species:S:1:pos:R:3 pbc="T T T"
In 0.000 0.000 0.000
Pt 1.501 0.000 2.274
Pt 0.000 2.549 2.462
Cl 0.000 0.000 4.736
```

***

12.
The following is a PBE calculation of AlTlRe after structural relaxation, from Alexandria via LeMat-Bulk.

Summary:
VASP energy (eV per atom): -5.500
Energy relative to the elements (kcal/mol of atoms): 15.8
M_tot (μB/atom): 0.00
N(E_F) (states/eV per atom): 0.74

The structure in extended XYZ format:
```
3
Lattice="4.465 0.000 0.000 -2.233 3.867 0.000 0.000 0.000 3.157" Properties=species:S:1:pos:R:3 pbc="T T T"
Al 0.000 0.000 0.000
Tl 2.233 1.289 1.578
Re 0.000 2.578 0.000
```

***

13.
The following is a PBE calculation of GdLu2Pa after structural relaxation, from Alexandria via LeMat-Bulk.

Summary:
VASP energy (eV per atom): -7.958
Energy relative to the elements (kcal/mol of atoms): 4.5
M_tot (μB/atom): 1.72
N(E_F) (states/eV per atom): 1.31

The structure in extended XYZ format:
```
4
Lattice="4.839 0.000 0.000 0.000 4.839 0.000 0.000 0.000 4.871" Properties=species:S:1:pos:R:3 pbc="T T T"
Gd 0.000 0.000 0.000
Lu 0.000 2.419 2.435
Lu 2.419 0.000 2.435
Pa 2.419 2.419 0.000
```

***

14.
The following is a PBE calculation of CdAs after structural relaxation, from Alexandria via LeMat-Bulk.

Summary:
VASP energy (eV per atom): -2.604
Energy relative to the elements (kcal/mol of atoms): 4.1
M_tot (μB/atom): 0.00
N(E_F) (states/eV per atom): 0.14

The structure in extended XYZ format:
```
12
Lattice="8.579 0.000 0.000 -4.290 7.430 0.000 0.000 0.000 5.335" Properties=species:S:1:pos:R:3 pbc="T T T"
Cd -1.979 5.440 1.334
Cd 0.568 2.996 1.334
Cd 2.879 1.006 4.001
Cd 1.411 6.424 1.334
Cd 3.721 4.434 4.001
Cd 6.269 1.990 4.001
As -2.241 4.683 4.001
As 1.354 3.147 4.001
As 3.403 0.401 1.334
As 0.887 7.029 4.001
As 2.935 4.283 1.334
As 6.531 2.746 1.334
```

***

15.
The following is a PBE calculation of Re4PW after structural relaxation, from Alexandria via LeMat-Bulk.

Summary:
VASP energy (eV per atom): -10.576
Energy relative to the elements (kcal/mol of atoms): 18.1
M_tot (μB/atom): 0.01
N(E_F) (states/eV per atom): 1.29

The structure in extended XYZ format:
```
6
Lattice="0.000 3.654 3.654 3.654 0.000 3.654 3.654 3.654 0.000" Properties=species:S:1:pos:R:3 pbc="T T T"
Re 2.744 2.744 2.744
Re 4.563 4.563 2.744
Re 4.563 2.744 4.563
Re 2.744 4.563 4.563
P 5.481 5.481 5.481
W 0.000 0.000 0.000
```

***

16.
The following is a PBE calculation of RbCdGaCl6 after structural relaxation, from Alexandria via LeMat-Bulk.

Summary:
VASP energy (eV per atom): -3.066
Energy relative to the elements, uncorrected (eV/atom): -1.289
M_tot (μB/atom): 0.00
N(E_F) (states/eV per atom): 0.00

The structure in extended XYZ format:
```
9
Lattice="6.646 0.000 0.000 -3.323 5.756 0.000 0.000 0.000 7.293" Properties=species:S:1:pos:R:3 pbc="T T T"
Rb 0.000 0.000 0.000
Cd 0.000 3.837 3.647
Ga 3.323 1.919 3.647
Cl 2.468 0.166 5.061
Cl 1.378 2.054 2.232
Cl 4.179 0.166 2.232
Cl 2.233 3.536 5.061
Cl 5.269 2.054 5.061
Cl 4.413 3.536 2.232
```

***

17.
The following is a PBE calculation of ZnTe2P2Pd7 after structural relaxation, from Alexandria via LeMat-Bulk.

Summary:
VASP energy (eV per atom): -4.950
Energy relative to the elements, uncorrected (eV/atom): -0.390
M_tot (μB/atom): 0.00
N(E_F) (states/eV per atom): 0.63

The structure in extended XYZ format:
```
12
Lattice="-1.973 1.973 14.257 1.973 -1.973 14.257 1.973 1.973 -14.257" Properties=species:S:1:pos:R:3 pbc="T T T"
Zn 0.000 0.000 0.000
Te 0.000 0.000 5.909
Te 0.000 0.000 22.605
P 0.000 0.000 10.977
P 0.000 0.000 17.537
Pd 1.973 0.000 2.019
Pd 0.000 0.000 8.644
Pd 1.973 0.000 12.237
Pd 0.000 0.000 14.257
Pd 0.000 1.973 2.019
Pd 0.000 0.000 19.870
Pd 0.000 1.973 12.237
```

***

18.
The following is a PBE calculation of NaMg2Cu after structural relaxation, from Alexandria via LeMat-Bulk.

Summary:
VASP energy (eV per atom): -2.001
Energy relative to the elements (kcal/mol of atoms): 3.5
M_tot (μB/atom): 0.00
N(E_F) (states/eV per atom): 0.36

The structure in extended XYZ format:
```
4
Lattice="1.581 0.913 10.315 -1.581 0.913 10.315 0.000 -1.826 10.315" Properties=species:S:1:pos:R:3 pbc="T T T"
Na 0.000 0.000 0.000
Mg 0.000 0.000 3.181
Mg 0.000 0.000 27.763
Cu 0.000 0.000 15.472
```

***

19.
The following is a PBE calculation of La3Pr2Sm6Mg after structural relaxation, from Alexandria via LeMat-Bulk.

Summary:
VASP energy (eV per atom): -4.503
Energy relative to the elements (kcal/mol of atoms): 0.4
M_tot (μB/atom): 0.00
N(E_F) (states/eV per atom): 1.44

The structure in extended XYZ format:
```
12
Lattice="3.147 -5.455 0.000 3.147 5.455 0.000 -2.115 0.000 11.897" Properties=species:S:1:pos:R:3 pbc="T T T"
La 0.000 0.000 0.000
La 3.147 1.830 0.000
La 3.147 -1.830 0.000
Pr 2.090 3.635 5.949
Pr 2.090 -3.635 5.949
Sm 1.058 1.803 3.014
Sm 0.003 0.000 8.898
Sm 1.058 -1.803 3.014
Sm 3.122 1.803 8.883
Sm 4.177 0.000 3.000
Sm 3.122 -1.803 8.883
Mg 2.090 0.000 5.949
```

***

20.
The following is a PBE calculation of Pu2ThVN4 after structural relaxation, from Alexandria via LeMat-Bulk.

Summary:
VASP energy (eV per atom): -10.982
Energy relative to the elements, uncorrected (eV/atom): -1.169
M_tot (μB/atom): 1.23
N(E_F) (states/eV per atom): 1.46

The structure in extended XYZ format:
```
16
Lattice="1.698 -5.827 0.000 1.698 5.827 0.000 0.000 0.000 11.723" Properties=species:S:1:pos:R:3 pbc="T T T"
Pu 1.698 4.290 6.412
Pu 1.698 4.290 11.172
Pu 1.698 -4.290 0.550
Pu 1.698 -4.290 5.311
Th 1.698 1.198 8.792
Th 1.698 -1.198 2.931
V 1.698 1.870 2.931
V 1.698 -1.870 8.792
N 1.698 5.166 8.792
N 1.698 3.131 1.498
N 1.698 3.131 4.363
N 1.698 0.000 0.000
N 1.698 0.000 5.861
N 1.698 -3.131 7.359
N 1.698 -3.131 10.224
N 1.698 -5.166 2.931
```

***

21.
The following is a PBE calculation of K3Cu2I7 after structural relaxation, from Alexandria via LeMat-Bulk.

Summary:
VASP energy (eV per atom): -2.566
Energy relative to the elements, uncorrected (eV/atom): -0.705
M_tot (μB/atom): 0.00
N(E_F) (states/eV per atom): 0.39

The structure in extended XYZ format:
```
12
Lattice="2.842 -14.366 0.000 2.842 14.366 0.000 0.000 0.000 5.537" Properties=species:S:1:pos:R:3 pbc="T T T"
K 0.000 0.000 0.000
K 2.842 9.355 0.000
K 2.842 -9.355 0.000
Cu 2.842 2.867 2.769
Cu 2.842 -2.867 2.769
I 2.842 11.714 2.769
I 2.842 5.577 2.769
I 2.842 2.661 0.000
I 2.842 0.000 2.769
I 2.842 -2.661 0.000
I 2.842 -5.577 2.769
I 2.842 -11.714 2.769
```

***

22.
The following is a PBE calculation of Cd2CoSe after structural relaxation, from Alexandria via LeMat-Bulk.

Summary:
VASP energy (eV per atom): -2.746
Energy relative to the elements, uncorrected (eV/atom): 0.359
M_tot (μB/atom): 0.41
N(E_F) (states/eV per atom): 1.14

The structure in extended XYZ format:
```
4
Lattice="3.777 0.000 0.000 0.000 5.062 0.000 -0.084 0.000 4.241" Properties=species:S:1:pos:R:3 pbc="T T T"
Cd 0.900 0.000 1.031
Cd 2.793 0.000 3.210
Co 0.000 2.531 0.000
Se 1.847 2.531 2.120
```

***

23.
The following is a PBE calculation of Sr2YAg after structural relaxation, from Alexandria via LeMat-Bulk.

Summary:
VASP energy (eV per atom): -2.956
Energy relative to the elements (kcal/mol of atoms): 4.9
M_tot (μB/atom): 0.00
N(E_F) (states/eV per atom): 1.69

The structure in extended XYZ format:
```
8
Lattice="-4.801 4.801 3.335 4.801 -4.801 3.335 4.801 4.801 -3.335" Properties=species:S:1:pos:R:3 pbc="T T T"
Sr 7.202 1.720 -0.834
Sr 1.720 2.401 0.834
Sr -2.401 3.081 2.501
Sr 3.081 2.401 4.169
Y 4.801 0.000 1.668
Y 0.000 0.000 3.335
Ag 0.000 0.000 0.000
Ag 0.000 4.801 1.668
```

***

24.
The following is a PBE calculation of CrTeP2 after structural relaxation, from Alexandria via LeMat-Bulk.

Summary:
VASP energy (eV per atom): -5.705
Energy relative to the elements, uncorrected (eV/atom): 0.192
M_tot (μB/atom): 0.90
N(E_F) (states/eV per atom): 0.42

The structure in extended XYZ format:
```
4
Lattice="1.836 1.060 6.376 -1.836 1.060 6.376 0.000 -2.121 6.376" Properties=species:S:1:pos:R:3 pbc="T T T"
Cr 0.000 0.000 0.000
Te 0.000 0.000 4.650
P 0.000 0.000 8.999
P 0.000 0.000 14.196
```

***

25.
The following is a PBE calculation of LaNiMo2 after structural relaxation, from Alexandria via LeMat-Bulk.

Summary:
VASP energy (eV per atom): -7.707
Energy relative to the elements (kcal/mol of atoms): 8.9
M_tot (μB/atom): 0.00
N(E_F) (states/eV per atom): 1.43

The structure in extended XYZ format:
```
4
Lattice="4.260 -1.706 0.000 4.260 1.706 0.000 -1.851 0.000 5.561" Properties=species:S:1:pos:R:3 pbc="T T T"
La 0.000 0.000 0.000
Ni 5.796 0.000 1.855
Mo 0.540 0.000 3.568
Mo 3.182 0.000 2.666
```

***

26.
The following is a PBE calculation of Hf2MgTa after structural relaxation, from Alexandria via LeMat-Bulk.

Summary:
VASP energy (eV per atom): -8.226
Energy relative to the elements (kcal/mol of atoms): 2.6
M_tot (μB/atom): 0.00
N(E_F) (states/eV per atom): 1.28

The structure in extended XYZ format:
```
4
Lattice="3.457 0.000 0.000 0.000 3.457 0.000 0.000 0.000 7.094" Properties=species:S:1:pos:R:3 pbc="T T T"
Hf 0.000 0.000 1.599
Hf 0.000 0.000 5.495
Mg 1.729 1.729 3.547
Ta 1.729 1.729 0.000
```